# 1
Below is crystalline BaNa5Sr2 at its relaxed geometry, with properties calculated at the PBE level.

Unit cell a=6.3104 b=6.3104 c=10.1143 alpha=108.18 beta=108.18 gamma=90.00
Sites, in units of the cell vectors:
Na  0.1238  0.6238  0.2476
Na  0.3762  0.8762  0.7524
Sr  0.2545  0.2545  0.5091
Na  0.6238  0.1238  0.2476
Na  0.8762  0.3762  0.7524
Sr  0.7455  0.7455  0.4909
Na  0.5000  0.5000  0.0000
Ba  0.0000  0.0000  0.0000

The distance to the lowest polymorph of the same formula comes out at 0 meV per atom.

---

# 2
Below is crystalline Ba2Na9Sr at its relaxed geometry, with properties calculated at the PBE level.

Unit cell a=7.2735 b=7.2735 c=12.0665 alpha=72.46 beta=72.46 gamma=60.00
Sites, in units of the cell vectors:
Sr  0.0000  0.0000  0.0000
Na  0.9235  0.4154  0.2456
Na  0.0765  0.5846  0.7544
Na  0.5000  0.5000  0.5000
Na  0.5846  0.0765  0.7544
Na  0.6660  0.6660  0.0019
Na  0.4154  0.4154  0.2456
Na  0.5846  0.5846  0.7544
Ba  0.1401  0.1401  0.5796
Ba  0.8599  0.8599  0.4204
Na  0.3340  0.3340  0.9981
Na  0.4154  0.9235  0.2456

---

| no. | calculated total energy (eV/cell) |
| --- | --- |
| 1 | -11.64 |
| 2 | -17.19 |